# 1
! LaMg2Au | Alexandria via LeMat-Bulk | GGA-PBE | relaxed; values from VASP
! Energy of formation ... -0.32 eV/atom
! Theoretical density ... 6.28 g cm⁻³
! N(E_F) ... 1.006 states/eV/atom
! Uncorrected energy ... -3.17 eV/atom
&SYSTEM
  ibrav = 0, nat = 4, ntyp = 3
/
ATOMIC_SPECIES
La 138.91 La.upf
Mg 24.30 Mg.upf
Au 196.97 Au.upf
ATOMIC_POSITIONS crystal
La 0.000 0.000 0.000
Mg 0.000 0.500 0.500
Mg 0.500 0.000 0.500
Au 0.500 0.500 0.000
CELL_PARAMETERS angstrom
4.413 0.000 0.000
0.000 4.442 0.000
0.000 0.000 5.187

=====

# 2
! Ba2NiTeAu | Alexandria via LeMat-Bulk | GGA-PBE | relaxed; values from VASP
! Energy relative to the elements, uncorrected ... -690 meV/atom
! Theoretical density ... 6.46 g cm⁻³
! N(E_F) ... 0.761 states/eV/atom
! Uncorrected energy ... -3.90 eV/atom
&SYSTEM
  ibrav = 0, nat = 5, ntyp = 4
/
ATOMIC_SPECIES
Ba 137.33 Ba.upf
Ni 58.69 Ni.upf
Te 127.60 Te.upf
Au 196.97 Au.upf
ATOMIC_POSITIONS crystal
Ba 0.000 0.500 0.000
Ba 0.500 0.000 0.000
Ni 0.000 0.000 0.000
Te 0.500 0.500 0.500
Au 0.000 0.000 0.500
CELL_PARAMETERS angstrom
5.949 0.000 0.000
0.000 5.949 0.000
0.000 0.000 4.782

=====

# 3
! Sm6Y2Tm3Mg | Alexandria via LeMat-Bulk | GGA-PBE | relaxed; values from VASP
! Energy of formation ... 0.02 eV/atom
! Theoretical density ... 7.04 g cm⁻³
! N(E_F) ... 1.136 states/eV/atom
! Uncorrected energy ... -4.67 eV/atom
&SYSTEM
  ibrav = 0, nat = 12, ntyp = 4
/
ATOMIC_SPECIES
Sm 150.36 Sm.upf
Y 88.91 Y.upf
Tm 168.93 Tm.upf
Mg 24.30 Mg.upf
ATOMIC_POSITIONS crystal
Sm 0.083 0.415 0.751
Sm 0.249 0.249 0.248
Sm 0.415 0.083 0.751
Sm 0.585 0.917 0.249
Sm 0.751 0.751 0.752
Sm 0.917 0.585 0.249
Y 0.334 0.666 0.500
Y 0.666 0.334 0.500
Tm 0.166 0.834 0.000
Tm 0.500 0.500 0.000
Tm 0.834 0.166 0.000
Mg 0.000 0.000 0.500
CELL_PARAMETERS angstrom
3.084 -5.345 0.000
3.084 5.345 0.000
-2.065 0.000 11.528

=====

# 4
! La2AlN | Alexandria via LeMat-Bulk | GGA-PBE | relaxed; values from VASP
! Energy relative to the elements, uncorrected ... -614 meV/atom
! Theoretical density ... 4.83 g cm⁻³
! N(E_F) ... 0.098 states/eV/atom
! Uncorrected energy ... -6.09 eV/atom
! Polymorph energy (0 for the lowest one) ... 0.000 eV per atom
&SYSTEM
  ibrav = 0, nat = 8, ntyp = 3
/
ATOMIC_SPECIES
La 138.91 La.upf
Al 26.98 Al.upf
N 14.01 N.upf
ATOMIC_POSITIONS crystal
La 0.030 0.125 0.405
La 0.375 0.970 0.095
La 0.720 0.625 0.595
La 0.875 0.280 0.905
Al 0.250 0.750 0.500
Al 0.500 0.500 0.000
N 0.000 0.000 0.000
N 0.750 0.250 0.500
CELL_PARAMETERS angstrom
-3.602 3.602 4.225
3.602 -3.602 4.225
3.602 3.602 -4.225

=====

# 5
! NaLiRhPb2 | Alexandria via LeMat-Bulk | GGA-PBE | relaxed; values from VASP
! Energy of formation ... -0.06 eV/atom
! Theoretical density ... 6.64 g cm⁻³
! N(E_F) ... 0.696 states/eV/atom
! Uncorrected energy ... -3.66 eV/atom
&SYSTEM
  ibrav = 0, nat = 5, ntyp = 4
/
ATOMIC_SPECIES
Na 22.99 Na.upf
Li 6.94 Li.upf
Rh 102.91 Rh.upf
Pb 207.20 Pb.upf
ATOMIC_POSITIONS crystal
Na 0.000 0.000 0.000
Li 0.500 0.500 0.000
Rh 0.500 0.500 0.500
Pb 0.000 0.500 0.500
Pb 0.500 0.000 0.500
CELL_PARAMETERS angstrom
5.262 0.000 0.000
0.000 5.262 0.000
0.000 0.000 4.943

=====

# 6
! Fe2IrCl | Alexandria via LeMat-Bulk | GGA-PBE | relaxed; values from VASP
! Energy relative to the elements, uncorrected ... 796 meV/atom
! Theoretical density ... 9.73 g cm⁻³
! N(E_F) ... 1.143 states/eV/atom
! Uncorrected energy ... -6.11 eV/atom
! Polymorph energy (0 for the lowest one) ... 0.667 eV per atom
&SYSTEM
  ibrav = 0, nat = 4, ntyp = 3
/
ATOMIC_SPECIES
Fe 55.84 Fe.upf
Ir 192.22 Ir.upf
Cl 35.45 Cl.upf
ATOMIC_POSITIONS crystal
Fe 0.000 0.000 0.000
Fe 0.250 0.250 0.250
Ir 0.750 0.750 0.750
Cl 0.500 0.500 0.500
CELL_PARAMETERS angstrom
0.000 3.071 3.071
3.071 0.000 3.071
3.071 3.071 0.000

=====

# 7
! NaYTe2 | Alexandria via LeMat-Bulk | GGA-PBE | relaxed; values from VASP
! Energy relative to the elements, uncorrected ... -1068 meV/atom
! Theoretical density ... 4.49 g cm⁻³
! N(E_F) ... 0.002 states/eV/atom
! Uncorrected energy ... -4.58 eV/atom
&SYSTEM
  ibrav = 0, nat = 8, ntyp = 3
/
ATOMIC_SPECIES
Na 22.99 Na.upf
Y 88.91 Y.upf
Te 127.60 Te.upf
ATOMIC_POSITIONS crystal
Na 0.036 0.964 0.750
Na 0.964 0.036 0.250
Y 0.323 0.677 0.750
Y 0.677 0.323 0.250
Te 0.088 0.912 0.250
Te 0.203 0.797 0.750
Te 0.797 0.203 0.250
Te 0.912 0.088 0.750
CELL_PARAMETERS angstrom
2.077 -12.986 0.000
2.077 12.986 0.000
0.000 0.000 5.028

=====

# 8
! Nd3Al2Au3 | Alexandria via LeMat-Bulk | GGA-PBE | relaxed; values from VASP
! Energy of formation ... -0.73 eV/atom
! Theoretical density ... 9.45 g cm⁻³
! N(E_F) ... 0.805 states/eV/atom
! Uncorrected energy ... -4.68 eV/atom
! Polymorph energy (0 for the lowest one) ... 0.000 eV per atom
&SYSTEM
  ibrav = 0, nat = 16, ntyp = 3
/
ATOMIC_SPECIES
Nd 144.24 Nd.upf
Al 26.98 Al.upf
Au 196.97 Au.upf
ATOMIC_POSITIONS crystal
Nd 0.086 0.914 0.606
Nd 0.086 0.914 0.894
Nd 0.388 0.612 0.750
Nd 0.612 0.388 0.250
Nd 0.914 0.086 0.106
Nd 0.914 0.086 0.394
Al 0.210 0.790 0.095
Al 0.210 0.790 0.405
Al 0.790 0.210 0.595
Al 0.790 0.210 0.905
Au 0.325 0.675 0.250
Au 0.382 0.618 0.545
Au 0.382 0.618 0.955
Au 0.618 0.382 0.045
Au 0.618 0.382 0.455
Au 0.675 0.325 0.750
CELL_PARAMETERS angstrom
2.272 -5.521 0.000
2.272 5.521 0.000
0.000 0.000 15.100

=====

Q: The highest N(E_F) belongs to which entry?
A: Fe2IrCl

=====

Q: Among the records above, which one has the highest N(E_F)?
A: Fe2IrCl

=====

Q: Among the records above, which one has the highest uncorrected energy?
A: LaMg2Au

=====

Q: theoretical density of number 8 (Nd3Al2Au3)?
A: 9.45 g cm⁻³